Arrangement P

## TmSiNiGe2 (PBE)

Data for a geometry-optimized TmSiNiGe2 structure.

Computed properties:
- Mass density: 7.7 g/cm3
- V: 172.73 Å³ per cell
- Space group: Cmmm (65)

Cell and atoms, written as extended XYZ:
```
10
Lattice="2.012 -10.661 0.000 2.012 10.661 0.000 0.000 0.000 4.026" Properties=species:S:1:pos:R:3 pbc="T T T"
Tm 2.012 6.993 0.000
Tm 2.012 -6.993 0.000
Si 2.012 4.682 2.013
Si 2.012 -4.682 2.013
Ni 2.012 2.464 2.013
Ni 2.012 -2.464 2.013
Ge 2.012 9.413 2.013
Ge 2.012 1.246 0.000
Ge 2.012 -1.246 0.000
Ge 2.012 -9.413 2.013
```

Arrangement Q

## TmSiNiGe2 (PBE)

Data for a geometry-optimized TmSiNiGe2 structure.

Computed properties:
- Mass density: 7.7 g/cm3
- V: 172.74 Å³ per cell
- Space group: Cmmm (65)

Cell and atoms, written as extended XYZ:
```
10
Lattice="2.037 -10.715 0.000 2.037 10.715 0.000 0.000 0.000 3.958" Properties=species:S:1:pos:R:3 pbc="T T T"
Tm 2.037 7.122 0.000
Tm 2.037 -7.122 0.000
Si 2.037 1.201 0.000
Si 2.037 -1.201 0.000
Ni 2.037 2.348 1.979
Ni 2.037 -2.348 1.979
Ge 2.037 9.493 1.979
Ge 2.037 4.642 1.979
Ge 2.037 -4.642 1.979
Ge 2.037 -9.493 1.979
```

The structure with the least stability is arrangement Q.

Arrangement P

## Zr3Si2Ni4Ge2 (PBE)

Data for a geometry-optimized Zr3Si2Ni4Ge2 structure.

Computed properties:
- Mass density: 7.2 g/cm3
- V: 163.54 Å³ per cell
- Space group: Immm (71)

Cell and atoms, written as extended XYZ:
```
11
Lattice="-1.961 3.232 6.449 1.961 -3.232 6.449 1.961 3.232 -6.449" Properties=species:S:1:pos:R:3 pbc="T T T"
Zr 0.000 0.000 0.000
Zr 1.961 0.000 4.830
Zr 0.000 3.232 1.619
Si 1.961 1.985 0.000
Si 0.000 1.247 6.449
Ni 1.961 1.286 -2.209
Ni 1.961 1.286 2.209
Ni 0.000 1.947 4.240
Ni 0.000 1.947 8.658
Ge 0.000 0.000 2.769
Ge 0.000 0.000 10.129
```

Arrangement Q

## Zr3Si2Ni4Ge2 (PBE)

Data for a geometry-optimized Zr3Si2Ni4Ge2 structure.

Computed properties:
- Mass density: 7.2 g/cm3
- V: 162.76 Å³ per cell
- Space group: Immm (71)

Cell and atoms, written as extended XYZ:
```
11
Lattice="-1.947 3.239 6.453 1.947 -3.239 6.453 1.947 3.239 -6.453" Properties=species:S:1:pos:R:3 pbc="T T T"
Zr 0.000 0.000 0.000
Zr 1.947 0.000 4.796
Zr 0.000 3.239 1.657
Si 0.000 0.000 2.759
Si 0.000 0.000 10.147
Ni 1.947 1.282 -2.331
Ni 1.947 1.282 2.331
Ni 0.000 1.957 4.122
Ni 0.000 1.957 8.784
Ge 1.947 1.940 0.000
Ge 0.000 1.299 6.453
```

The structure with the least stability is arrangement P.

Arrangement P

## Sm2NiGe6 (PBE)

Data for a geometry-optimized Sm2NiGe6 structure.

Computed properties:
- Mass density: 7.2 g/cm3
- V: 182.37 Å³ per cell
- Space group: Cmmm (65)

Cell and atoms, written as extended XYZ:
```
9
Lattice="1.997 -11.027 0.000 1.997 11.027 0.000 0.000 0.000 4.141" Properties=species:S:1:pos:R:3 pbc="T T T"
Sm 1.997 7.235 0.000
Sm 1.997 -7.235 0.000
Ni 1.997 0.000 2.071
Ge 1.997 9.599 2.071
Ge 1.997 4.697 2.071
Ge 1.997 1.384 0.000
Ge 1.997 -1.384 0.000
Ge 1.997 -4.697 2.071
Ge 1.997 -9.599 2.071
```

Arrangement Q

## Sm2NiGe6 (PBE)

Data for a geometry-optimized Sm2NiGe6 structure.

Computed properties:
- Mass density: 7.3 g/cm3
- V: 180.36 Å³ per cell
- Space group: Amm2 (38)

Cell and atoms, written as extended XYZ:
```
9
Lattice="4.114 0.000 0.000 0.000 2.020 10.850 0.000 -2.020 10.850" Properties=species:S:1:pos:R:3 pbc="T T T"
Sm 0.000 0.000 0.000
Sm 0.000 0.000 7.265
Ni 2.057 0.000 16.849
Ge 0.000 0.000 13.150
Ge 0.000 0.000 15.646
Ge 2.057 0.000 2.272
Ge 2.057 0.000 4.779
Ge 2.057 0.000 9.924
Ge 2.057 0.000 19.187
```

The structure with the least stability is arrangement P.

Arrangement P

## TcNiGe (PBE)

Data for a geometry-optimized TcNiGe structure.

Computed properties:
- Mass density: 8.3 g/cm3
- V: 182.49 Å³ per cell
- Space group: F-43m (216)

Cell and atoms, written as extended XYZ:
```
12
Lattice="5.672 0.000 0.000 0.000 5.672 0.000 0.000 0.000 5.672" Properties=species:S:1:pos:R:3 pbc="T T T"
Tc 0.000 0.000 0.000
Tc 0.000 2.836 2.836
Tc 2.836 0.000 2.836
Tc 2.836 2.836 0.000
Ni 0.000 0.000 2.836
Ni 0.000 2.836 0.000
Ni 2.836 0.000 0.000
Ni 2.836 2.836 2.836
Ge 1.418 1.418 4.254
Ge 1.418 4.254 1.418
Ge 4.254 1.418 1.418
Ge 4.254 4.254 4.254
```

Arrangement Q

## TcNiGe (PBE)

Data for a geometry-optimized TcNiGe structure.

Computed properties:
- Mass density: 7.8 g/cm3
- V: 194.22 Å³ per cell
- Space group: F-43m (216)

Cell and atoms, written as extended XYZ:
```
12
Lattice="5.791 0.000 0.000 0.000 5.791 0.000 0.000 0.000 5.791" Properties=species:S:1:pos:R:3 pbc="T T T"
Tc 0.000 0.000 0.000
Tc 0.000 2.896 2.896
Tc 2.896 0.000 2.896
Tc 2.896 2.896 0.000
Ni 1.448 1.448 1.448
Ni 1.448 4.343 4.343
Ni 4.343 1.448 4.343
Ni 4.343 4.343 1.448
Ge 1.448 1.448 4.343
Ge 1.448 4.343 1.448
Ge 4.343 1.448 1.448
Ge 4.343 4.343 4.343
```

The structure with the least stability is arrangement Q.

Arrangement P

## Ni2GeTe (PBE)

Data for a geometry-optimized Ni2GeTe structure.

Computed properties:
- Mass density: 7.8 g/cm3
- V: 135.15 Å³ per cell
- Space group: Pmn2_1 (31)

Cell and atoms, written as extended XYZ:
```
8
Lattice="3.945 0.000 0.000 0.000 7.122 0.000 0.000 0.000 4.811" Properties=species:S:1:pos:R:3 pbc="T T T"
Ni 0.000 1.099 0.000
Ni 0.000 5.663 4.008
Ni 1.972 1.458 1.602
Ni 1.972 6.022 2.406
Ge 0.000 0.515 2.491
Ge 1.972 6.606 0.086
Te 0.000 4.506 1.649
Te 1.972 2.616 4.054
```

Arrangement Q

## Ni2GeTe (PBE)

Data for a geometry-optimized Ni2GeTe structure.

Computed properties:
- Mass density: 8.1 g/cm3
- V: 130.28 Å³ per cell
- Space group: P2_1/m (11)

Cell and atoms, written as extended XYZ:
```
8
Lattice="5.122 0.000 0.000 0.000 3.859 0.000 -0.228 0.000 6.591" Properties=species:S:1:pos:R:3 pbc="T T T"
Ni -0.039 0.965 1.975
Ni 2.464 0.965 1.671
Ni 2.430 2.894 4.921
Ni 4.934 2.894 4.616
Ge 1.346 2.894 2.748
Ge 3.549 0.965 3.843
Te 1.030 0.965 5.924
Te 3.865 2.894 0.668
```

The structure with the least stability is arrangement P.

Arrangement P

## Y2NiGe6 (PBE)

Data for a geometry-optimized Y2NiGe6 structure.

Computed properties:
- Mass density: 6.4 g/cm3
- V: 175.30 Å³ per cell
- Space group: Cmmm (65)

Cell and atoms, written as extended XYZ:
```
9
Lattice="1.975 -10.853 0.000 1.975 10.853 0.000 0.000 0.000 4.090" Properties=species:S:1:pos:R:3 pbc="T T T"
Y 1.975 7.083 0.000
Y 1.975 -7.083 0.000
Ni 1.975 0.000 2.045
Ge 1.975 9.393 2.045
Ge 1.975 4.590 2.045
Ge 1.975 1.409 0.000
Ge 1.975 -1.409 0.000
Ge 1.975 -4.590 2.045
Ge 1.975 -9.393 2.045
```

Arrangement Q

## Y2NiGe6 (PBE)

Data for a geometry-optimized Y2NiGe6 structure.

Computed properties:
- Mass density: 6.4 g/cm3
- V: 175.29 Å³ per cell
- Space group: Amm2 (38)

Cell and atoms, written as extended XYZ:
```
9
Lattice="4.077 0.000 0.000 0.000 2.002 10.738 0.000 -2.002 10.738" Properties=species:S:1:pos:R:3 pbc="T T T"
Y 0.000 0.000 0.000
Y 0.000 0.000 7.230
Ni 2.039 0.000 16.726
Ge 0.000 0.000 13.009
Ge 0.000 0.000 15.513
Ge 2.039 0.000 2.213
Ge 2.039 0.000 4.731
Ge 2.039 0.000 9.903
Ge 2.039 0.000 19.036
```

The structure with the least stability is arrangement P.

Arrangement P

## NpSiGe (PBE)

Data for a geometry-optimized NpSiGe structure.

Computed properties:
- Mass density: 8.6 g/cm3
- V: 261.02 Å³ per cell
- Space group: F-43m (216)

Cell and atoms, written as extended XYZ:
```
12
Lattice="6.391 0.000 0.000 0.000 6.391 0.000 0.000 0.000 6.391" Properties=species:S:1:pos:R:3 pbc="T T T"
Np 0.000 0.000 0.000
Np 0.000 3.195 3.195
Np 3.195 0.000 3.195
Np 3.195 3.195 0.000
Si 1.598 1.598 1.598
Si 1.598 4.793 4.793
Si 4.793 1.598 4.793
Si 4.793 4.793 1.598
Ge 1.598 1.598 4.793
Ge 1.598 4.793 1.598
Ge 4.793 1.598 1.598
Ge 4.793 4.793 4.793
```

Arrangement Q

## NpSiGe (PBE)

Data for a geometry-optimized NpSiGe structure.

Computed properties:
- Mass density: 8.9 g/cm3
- V: 251.24 Å³ per cell
- Space group: F-43m (216)

Cell and atoms, written as extended XYZ:
```
12
Lattice="6.310 0.000 0.000 0.000 6.310 0.000 0.000 0.000 6.310" Properties=species:S:1:pos:R:3 pbc="T T T"
Np 0.000 0.000 0.000
Np 0.000 3.155 3.155
Np 3.155 0.000 3.155
Np 3.155 3.155 0.000
Si 1.578 1.578 4.733
Si 1.578 4.733 1.578
Si 4.733 1.578 1.578
Si 4.733 4.733 4.733
Ge 0.000 0.000 3.155
Ge 0.000 3.155 0.000
Ge 3.155 0.000 0.000
Ge 3.155 3.155 3.155
```

The structure with the least stability is arrangement P.

Arrangement P

## NpGeTe (PBE)

Data for a geometry-optimized NpGeTe structure.

Computed properties:
- Mass density: 8.3 g/cm3
- V: 347.85 Å³ per cell
- Space group: F-43m (216)

Cell and atoms, written as extended XYZ:
```
12
Lattice="7.033 0.000 0.000 0.000 7.033 0.000 0.000 0.000 7.033" Properties=species:S:1:pos:R:3 pbc="T T T"
Np 0.000 0.000 0.000
Np 0.000 3.516 3.516
Np 3.516 0.000 3.516
Np 3.516 3.516 0.000
Ge 1.758 1.758 5.275
Ge 1.758 5.275 1.758
Ge 5.275 1.758 1.758
Ge 5.275 5.275 5.275
Te 1.758 1.758 1.758
Te 1.758 5.275 5.275
Te 5.275 1.758 5.275
Te 5.275 5.275 1.758
```

Arrangement Q

## NpGeTe (PBE)

Data for a geometry-optimized NpGeTe structure.

Computed properties:
- Mass density: 8.9 g/cm3
- V: 326.33 Å³ per cell
- Space group: F-43m (216)

Cell and atoms, written as extended XYZ:
```
12
Lattice="6.885 0.000 0.000 0.000 6.885 0.000 0.000 0.000 6.885" Properties=species:S:1:pos:R:3 pbc="T T T"
Np 0.000 0.000 0.000
Np 0.000 3.442 3.442
Np 3.442 0.000 3.442
Np 3.442 3.442 0.000
Ge 1.721 1.721 1.721
Ge 1.721 5.164 5.164
Ge 5.164 1.721 5.164
Ge 5.164 5.164 1.721
Te 0.000 0.000 3.442
Te 0.000 3.442 0.000
Te 3.442 0.000 0.000
Te 3.442 3.442 3.442
```

The structure with the least stability is arrangement Q.

Arrangement P

## Ge2Os2O5 (PBE)

Data for a geometry-optimized Ge2Os2O5 structure.

Computed properties:
- Mass density: 9.8 g/cm3
- V: 103.15 Å³ per cell
- Space group: P4/mmm (123)

Cell and atoms, written as extended XYZ:
```
9
Lattice="3.951 0.000 0.000 0.000 3.951 0.000 0.000 0.000 6.608" Properties=species:S:1:pos:R:3 pbc="T T T"
Ge 0.000 0.000 0.000
Ge 0.000 0.000 3.304
Os 1.975 1.975 1.216
Os 1.975 1.975 5.393
O 0.000 1.975 1.576
O 0.000 1.975 5.033
O 1.975 0.000 1.576
O 1.975 0.000 5.033
O 1.975 1.975 3.304
```

Arrangement Q

## Ge2Os2O5 (PBE)

Data for a geometry-optimized Ge2Os2O5 structure.

Computed properties:
- Mass density: 10.4 g/cm3
- V: 97.17 Å³ per cell
- Space group: P4/mmm (123)

Cell and atoms, written as extended XYZ:
```
9
Lattice="4.012 0.000 0.000 0.000 4.012 0.000 0.000 0.000 6.037" Properties=species:S:1:pos:R:3 pbc="T T T"
Ge 0.000 0.000 1.215
Ge 0.000 0.000 4.822
Os 2.006 2.006 0.000
Os 2.006 2.006 3.019
O 0.000 0.000 3.019
O 0.000 2.006 1.247
O 0.000 2.006 4.790
O 2.006 0.000 1.247
O 2.006 0.000 4.790
```

The structure with the least stability is arrangement Q.

Arrangement P

## GePPdO (PBE)

Data for a geometry-optimized GePPdO structure.

Computed properties:
- Mass density: 5.6 g/cm3
- V: 133.69 Å³ per cell
- Space group: P4/nmm (129)

Cell and atoms, written as extended XYZ:
```
8
Lattice="3.864 0.000 0.000 0.000 3.864 0.000 0.000 0.000 8.956" Properties=species:S:1:pos:R:3 pbc="T T T"
Ge 0.966 0.966 0.950
Ge 2.898 2.898 8.006
P 0.966 0.966 5.853
P 2.898 2.898 3.103
Pd 0.966 2.898 4.478
Pd 2.898 0.966 4.478
O 0.966 2.898 0.000
O 2.898 0.966 0.000
```

Arrangement Q

## GePPdO (PBE)

Data for a geometry-optimized GePPdO structure.

Computed properties:
- Mass density: 5.6 g/cm3
- V: 133.04 Å³ per cell
- Space group: Pmc2_1 (26)

Cell and atoms, written as extended XYZ:
```
8
Lattice="3.162 0.000 0.000 0.000 6.589 0.000 0.000 0.000 6.385" Properties=species:S:1:pos:R:3 pbc="T T T"
Ge 0.000 1.054 0.000
Ge 0.000 5.535 3.192
P 0.000 1.140 2.369
P 0.000 5.449 5.561
Pd 1.581 2.176 3.540
Pd 1.581 4.413 0.347
O 1.581 1.999 5.950
O 1.581 4.591 2.757
```

The structure with the least stability is arrangement Q.

Arrangement P

## GePPdO (PBE)

Data for a geometry-optimized GePPdO structure.

Computed properties:
- Mass density: 5.5 g/cm3
- V: 136.69 Å³ per cell
- Space group: Pmc2_1 (26)

Cell and atoms, written as extended XYZ:
```
8
Lattice="3.773 0.000 0.000 0.000 8.073 0.000 0.000 0.000 4.487" Properties=species:S:1:pos:R:3 pbc="T T T"
Ge 0.000 1.102 0.000
Ge 0.000 6.971 2.244
P 1.887 2.457 4.110
P 1.887 5.616 1.867
Pd 1.887 3.250 1.887
Pd 1.887 4.823 4.131
O 0.000 0.642 1.762
O 0.000 7.431 4.005
```

Arrangement Q

## GePPdO (PBE)

Data for a geometry-optimized GePPdO structure.

Computed properties:
- Mass density: 5.7 g/cm3
- V: 132.52 Å³ per cell
- Space group: P4/nmm (129)

Cell and atoms, written as extended XYZ:
```
8
Lattice="4.144 0.000 0.000 0.000 4.144 0.000 0.000 0.000 7.718" Properties=species:S:1:pos:R:3 pbc="T T T"
Ge 1.036 3.108 0.000
Ge 3.108 1.036 0.000
P 1.036 1.036 1.357
P 3.108 3.108 6.361
Pd 1.036 1.036 4.314
Pd 3.108 3.108 3.405
O 1.036 3.108 3.859
O 3.108 1.036 3.859
```

The structure with the least stability is arrangement Q.